[1]
A relaxed structure of AcNbBi. Source: OQMD via LeMat-Bulk, functional GGA-PBE.

Calculated values
Offset from the most stable computed form: 504 meV/atom
Mass density: 7.62 Mg/m³
Symmetry: F-43m (216)
Magnetization: 17.94 μB/cell

Cell lengths 7.7252, 7.7252, 7.7252 Å; angles 90.00, 90.00, 90.00 degrees
Last column: nearest neighbours and their distance in Å.
Sites, in units of the cell vectors:
Ac1 0.0000 0.0000 0.0000  4 Nb 3.35, 4 Bi 3.35
Ac2 0.0000 0.5000 0.5000  4 Nb 3.35, 4 Bi 3.35
Ac3 0.5000 0.0000 0.5000  4 Nb 3.35, 4 Bi 3.35
Ac4 0.5000 0.5000 0.0000  4 Nb 3.35, 4 Bi 3.35
Nb1 0.2500 0.2500 0.2500  4 Ac 3.35
Nb2 0.2500 0.7500 0.7500  4 Ac 3.35
Nb3 0.7500 0.2500 0.7500  4 Ac 3.35
Nb4 0.7500 0.7500 0.2500  4 Ac 3.35
Bi1 0.2500 0.2500 0.7500  4 Ac 3.35
Bi2 0.2500 0.7500 0.2500  4 Ac 3.35
Bi3 0.7500 0.2500 0.2500  4 Ac 3.35
Bi4 0.7500 0.7500 0.7500  4 Ac 3.35

[2]
A relaxed structure of ErGaPbS3. Source: OQMD via LeMat-Bulk, functional GGA-PBE.

Calculated values
Mass density: 5.94 Mg/m³
Total DFT energy (no corrections): -59.3 eV/cell
Symmetry: Cmcm (63)
Magnetization: 0.02 μB/cell

Cell lengths 7.5267, 7.5267, 10.6743 Å; angles 90.00, 90.00, 150.03 degrees
Last column: nearest neighbours and their distance in Å.
Sites, in units of the cell vectors:
Er1 0.0000 0.0000 0.0000  6 S 2.69-2.70
Er2 0.0000 0.0000 0.5000  6 S 2.69-2.70
Ga1 0.3667 0.6333 0.7500  4 S 2.50-2.73
Ga2 0.6333 0.3667 0.2500  4 S 2.50-2.73
Pb1 0.2994 0.7006 0.2500  2 S 2.81, 2 Ga 3.10
Pb2 0.7006 0.2994 0.7500  2 S 2.81, 2 Ga 3.10
S1 0.0250 0.9750 0.2500  2 Ga 2.50, 2 Er 2.69
S2 0.3714 0.6286 0.0053  2 Er 2.70, 1 Ga 2.73, 1 Pb 2.81
S3 0.3714 0.6286 0.4947  2 Er 2.70, 1 Ga 2.73, 1 Pb 2.81
S4 0.6286 0.3714 0.5053  2 Er 2.70, 1 Ga 2.73, 1 Pb 2.81
S5 0.6286 0.3714 0.9947  2 Er 2.70, 1 Ga 2.73, 1 Pb 2.81
S6 0.9750 0.0250 0.7500  2 Ga 2.50, 2 Er 2.69

[3]
A relaxed structure of Hf2Be15Cu2. Source: OQMD via LeMat-Bulk, functional GGA-PBE.

Calculated values
Mass density: 5.60 Mg/m³
Total DFT energy (no corrections): -87.7 eV/cell
Symmetry: R-3m (166)
Magnetization: 0.00 μB/cell

Cell lengths 5.7258, 5.7258, 5.7258 Å; angles 82.92, 82.92, 82.92 degrees
Last column: nearest neighbours and their distance in Å.
Sites, in units of the cell vectors:
Hf1 0.1553 0.1553 0.1553  1 Cu 2.65, 18 Be 2.70-2.95
Hf2 0.8447 0.8447 0.8447  1 Cu 2.65, 18 Be 2.70-2.95
Be1 0.0000 0.5000 0.5000  8 Be 2.17-2.20, 2 Cu 2.29
Be2 0.1557 0.1557 0.6608  8 Be 2.18-2.37, 1 Cu 2.34
Be3 0.1557 0.6608 0.1557  8 Be 2.18-2.37, 1 Cu 2.34
Be4 0.2111 0.5000 0.7889  8 Be 2.17-2.37
Be5 0.2111 0.7889 0.5000  8 Be 2.17-2.37
Be6 0.3392 0.8443 0.8443  8 Be 2.18-2.37, 1 Cu 2.34
Be7 0.5000 0.0000 0.5000  8 Be 2.17-2.20, 2 Cu 2.29
Be8 0.5000 0.2111 0.7889  8 Be 2.17-2.37
Be9 0.5000 0.5000 0.0000  8 Be 2.17-2.20, 2 Cu 2.29
Be10 0.5000 0.7889 0.2111  8 Be 2.17-2.37
Be11 0.6608 0.1557 0.1557  8 Be 2.18-2.37, 1 Cu 2.34
Be12 0.7889 0.2111 0.5000  8 Be 2.17-2.37
Be13 0.7889 0.5000 0.2111  8 Be 2.17-2.37
Be14 0.8443 0.3392 0.8443  8 Be 2.18-2.37, 1 Cu 2.34
Be15 0.8443 0.8443 0.3392  8 Be 2.18-2.37, 1 Cu 2.34
Cu1 0.3944 0.3944 0.3944  12 Be 2.29-2.48, 1 Cu 2.34
Cu2 0.6056 0.6056 0.6056  12 Be 2.29-2.48, 1 Cu 2.34

[4]
A relaxed structure of LuZn2Cu. Source: OQMD via LeMat-Bulk, functional GGA-PBE.

Calculated values
Mass density: 9.30 Mg/m³
Symmetry: F-43m (216)
Energy relative to the elements: -5.93 kcal/mol of atoms
Magnetization: 0.01 μB/cell

Cell lengths 6.4122, 6.4122, 6.4122 Å; angles 90.00, 90.00, 90.00 degrees
Last column: nearest neighbours and their distance in Å.
Sites, in units of the cell vectors:
Lu1 0.0000 0.0000 0.0000  4 Cu 2.78, 4 Zn 2.78
Lu2 0.0000 0.5000 0.5000  4 Cu 2.78, 4 Zn 2.78
Lu3 0.5000 0.0000 0.5000  4 Cu 2.78, 4 Zn 2.78
Lu4 0.5000 0.5000 0.0000  4 Cu 2.78, 4 Zn 2.78
Zn1 0.0000 0.0000 0.5000  4 Cu 2.78, 4 Zn 2.78
Zn2 0.0000 0.5000 0.0000  4 Cu 2.78, 4 Zn 2.78
Zn3 0.2500 0.2500 0.2500  4 Zn 2.78, 4 Lu 2.78
Zn4 0.2500 0.7500 0.7500  4 Zn 2.78, 4 Lu 2.78
Zn5 0.5000 0.0000 0.0000  4 Cu 2.78, 4 Zn 2.78
Zn6 0.5000 0.5000 0.5000  4 Cu 2.78, 4 Zn 2.78
Zn7 0.7500 0.2500 0.7500  4 Zn 2.78, 4 Lu 2.78
Zn8 0.7500 0.7500 0.2500  4 Zn 2.78, 4 Lu 2.78
Cu1 0.2500 0.2500 0.7500  4 Zn 2.78, 4 Lu 2.78
Cu2 0.2500 0.7500 0.2500  4 Zn 2.78, 4 Lu 2.78
Cu3 0.7500 0.2500 0.2500  4 Zn 2.78, 4 Lu 2.78
Cu4 0.7500 0.7500 0.7500  4 Zn 2.78, 4 Lu 2.78

- Which of these has the lowest magnetization?
  Hf2Be15Cu2

Repeat the third record exactly.
A relaxed structure of Hf2Be15Cu2. Source: OQMD via LeMat-Bulk, functional GGA-PBE.

Calculated values
Mass density: 5.60 Mg/m³
Total DFT energy (no corrections): -87.7 eV/cell
Symmetry: R-3m (166)
Magnetization: 0.00 μB/cell

Cell lengths 5.7258, 5.7258, 5.7258 Å; angles 82.92, 82.92, 82.92 degrees
Last column: nearest neighbours and their distance in Å.
Sites, in units of the cell vectors:
Hf1 0.1553 0.1553 0.1553  1 Cu 2.65, 18 Be 2.70-2.95
Hf2 0.8447 0.8447 0.8447  1 Cu 2.65, 18 Be 2.70-2.95
Be1 0.0000 0.5000 0.5000  8 Be 2.17-2.20, 2 Cu 2.29
Be2 0.1557 0.1557 0.6608  8 Be 2.18-2.37, 1 Cu 2.34
Be3 0.1557 0.6608 0.1557  8 Be 2.18-2.37, 1 Cu 2.34
Be4 0.2111 0.5000 0.7889  8 Be 2.17-2.37
Be5 0.2111 0.7889 0.5000  8 Be 2.17-2.37
Be6 0.3392 0.8443 0.8443  8 Be 2.18-2.37, 1 Cu 2.34
Be7 0.5000 0.0000 0.5000  8 Be 2.17-2.20, 2 Cu 2.29
Be8 0.5000 0.2111 0.7889  8 Be 2.17-2.37
Be9 0.5000 0.5000 0.0000  8 Be 2.17-2.20, 2 Cu 2.29
Be10 0.5000 0.7889 0.2111  8 Be 2.17-2.37
Be11 0.6608 0.1557 0.1557  8 Be 2.18-2.37, 1 Cu 2.34
Be12 0.7889 0.2111 0.5000  8 Be 2.17-2.37
Be13 0.7889 0.5000 0.2111  8 Be 2.17-2.37
Be14 0.8443 0.3392 0.8443  8 Be 2.18-2.37, 1 Cu 2.34
Be15 0.8443 0.8443 0.3392  8 Be 2.18-2.37, 1 Cu 2.34
Cu1 0.3944 0.3944 0.3944  12 Be 2.29-2.48, 1 Cu 2.34
Cu2 0.6056 0.6056 0.6056  12 Be 2.29-2.48, 1 Cu 2.34

- Among the records above, which one has the lowest magnetization?
  Hf2Be15Cu2